# ErTl2TeO8 PBE optimized geometry
# raw formation energy	-1248	meV/atom
# magnetization	1.9	μB/cell
# Fermi-level density of states	0.724	states/eV per atom
# theoretical density	7.94	g/cm3
data_ErTl2TeO8
_space_group_name_H-M_alt 'C m m m'
_space_group_IT_number 65
_space_group_name_Hall '-C 2 2'
_cell_length_a 7.072
_cell_length_b 7.243
_cell_length_c 6.790
_cell_angle_alpha 90.00
_cell_angle_beta 90.00
_cell_angle_gamma 90.00
loop_
_atom_site_label
_atom_site_type_symbol
_atom_site_fract_x
_atom_site_fract_y
_atom_site_fract_z
Er1 Er 0.000 0.000 0.000
Tl1 Tl 0.000 0.500 0.252
Te1 Te 0.000 0.000 0.500
O1 O 0.000 0.177 0.284
O2 O 0.195 0.500 0.000
O3 O 0.219 0.500 0.500



# ErScHgOs PBE optimized geometry
# magnetization	0.0	μB/cell
# energy relative to the elements	-0.450	eV/atom
# Fermi-level density of states	0.848	states/eV per atom
# theoretical density	12.11	g/cm3
# excess energy over the best structure of this formula in the dataset	0	meV per atom
data_ErScHgOs
_space_group_name_H-M_alt 'P 4 m m'
_space_group_IT_number 99
_space_group_name_Hall 'P 4 -2'
_cell_length_a 3.355
_cell_length_b 3.355
_cell_length_c 7.348
_cell_angle_alpha 90.00
_cell_angle_beta 90.00
_cell_angle_gamma 90.00
loop_
_atom_site_label
_atom_site_type_symbol
_atom_site_fract_x
_atom_site_fract_y
_atom_site_fract_z
Er1 Er 0.000 0.000 0.000
Sc1 Sc 0.000 0.000 0.566
Hg1 Hg 0.500 0.500 0.302
Os1 Os 0.500 0.500 0.767